Entry 1:
First-principles (PBE-GGA) data for an optimized crystal structure of CoReAsN2, as listed in Alexandria via LeMat-Bulk.

Lattice parameters (Å, degrees): 3.6485 3.6485 4.8364 90.00 90.00 90.00
Space group P4/mmm (No. 123)
Symmetry-distinct sites (fractional):
Co (0.0000, 0.0000, 0.0000)
Re (0.5000, 0.5000, 0.5000)
As (0.0000, 0.0000, 0.5000)
N (0.0000, 0.5000, 0.0000)

Properties
relative energy among the computed polymorphs: 737 meV per atom
ΔE_f (raw): 146.75 kJ per mole of atoms

Entry 2:
First-principles (PBE-GGA) data for an optimized crystal structure of CoReAsN2, as listed in Alexandria via LeMat-Bulk.

Lattice parameters (Å, degrees): 3.7828 3.7828 5.3783 90.00 90.00 90.00
Space group P4/mmm (No. 123)
Symmetry-distinct sites (fractional):
Co (0.0000, 0.0000, 0.0000)
Re (0.5000, 0.5000, 0.5000)
As (0.5000, 0.5000, 0.0000)
N (0.0000, 0.5000, 0.5000)

Properties
relative energy among the computed polymorphs: 0 meV per atom
ΔE_f (raw): 75.60 kJ per mole of atoms

Entry 3:
First-principles (PBE-GGA) data for an optimized crystal structure of CoReAs2N, as listed in Alexandria via LeMat-Bulk.

Lattice parameters (Å, degrees): 4.2594 4.2594 4.9983 90.00 90.00 90.00
Space group P4/mmm (No. 123)
Symmetry-distinct sites (fractional):
Co (0.0000, 0.0000, 0.0000)
Re (0.0000, 0.0000, 0.5000)
As (0.0000, 0.5000, 0.0000)
N (0.5000, 0.5000, 0.5000)

Properties
ΔE_f (raw): 183.51 kJ per mole of atoms

Entry 4:
First-principles (PBE-GGA) data for an optimized crystal structure of CoAsS2N, as listed in Alexandria via LeMat-Bulk.

Lattice parameters (Å, degrees): 4.8424 4.8424 3.5367 90.00 90.00 90.00
Space group P4/mmm (No. 123)
Symmetry-distinct sites (fractional):
Co (0.0000, 0.0000, 0.0000)
As (0.5000, 0.5000, 0.5000)
S (0.0000, 0.5000, 0.5000)
N (0.5000, 0.5000, 0.0000)

Properties
relative energy among the computed polymorphs: 660 meV per atom
ΔE_f (raw): 112.00 kJ per mole of atoms

no.,total DFT energy (no corrections) (eV per atom)
1,-6.6499
2,-7.3873
3,-5.5338
4,-4.5064